No. 1
The following is a DFT calculation (GGA-PBE) of Rb2LiThTe4 after structural relaxation.

Lattice parameters (Å, degrees): 9.0073 10.0513 14.0505 90.00 90.00 90.00
With the nearest neighbours (Å) after each atom.
Space group Imma (No. 74)
One atom of each set of equivalent atoms:
Rb 0.0000 0.0000 0.0000 x4  6 Te 3.52-3.80
Rb 0.2500 0.2500 0.2500 x4  6 Te 3.64-3.89
Li 0.0000 0.0000 0.5000 x4  4 Te 3.04
Th 0.2500 0.2500 0.7500 x4  6 Te 3.13-3.23
Te 0.0000 0.0343 0.7510 x8  2 Th 3.13
Te 0.1856 0.2500 0.5240 x8  2 Li 3.04, 1 Th 3.23, 1 Te 3.34

Values from the calculation:
Uncorrected formation energy (eV/atom): -1.001
DOS at the Fermi energy (states/eV/f.u.): 2.298
Electronic total energy (eV/atom): -3.98

=====

No. 2
The following is a DFT calculation (GGA-PBE) of GeAs2W after structural relaxation.

Lattice parameters (Å, degrees): 2.8344 2.8344 32.3220 90.00 90.00 120.00
With the nearest neighbours (Å) after each atom.
Space group R-3m (No. 166, hexagonal axes)
One atom of each set of equivalent atoms:
Ge 0.0000 0.0000 0.0000 x3  6 Ge 2.83
As 0.0000 0.0000 0.4178 x6  1 W 2.66, 6 As 2.83
W 0.0000 0.0000 0.5000 x3  2 As 2.66, 6 W 2.83

Values from the calculation:
E_form (eV per atom): 0.637
DOS at the Fermi energy (states/eV/f.u.): 3.707
Electronic total energy (eV/atom): -6.08

=====

No. 3
The following is a DFT calculation (GGA-PBE) of LiDyPd6 after structural relaxation.

Lattice parameters (Å, degrees): 4.0728 4.0728 7.8273 90.00 90.00 90.00
With the nearest neighbours (Å) after each atom.
Space group P4/mmm (No. 123)
One atom of each set of equivalent atoms:
Li 0.0000 0.0000 0.0000 x1  12 Pd 2.75-2.88
Dy 0.0000 0.0000 0.5000 x1  12 Pd 2.88-2.90
Pd 0.0000 0.5000 0.2359 x4  2 Li 2.75, 8 Pd 2.75-2.90, 2 Dy 2.90
Pd 0.5000 0.5000 0.0000 x1  8 Pd 2.75, 4 Li 2.88
Pd 0.5000 0.5000 0.5000 x1  4 Dy 2.88, 8 Pd 2.90

Values from the calculation:
E_form (eV per atom): -0.550
DOS at the Fermi energy (states/eV/f.u.): 8.728
E above lowest polymorph (meV per atom): 0
Electronic total energy (eV/atom): -5.26

=====

No. 4
The following is a DFT calculation (GGA-PBE) of Ca3Ag5H12 after structural relaxation.

Lattice parameters (Å, degrees): 12.3351 12.3351 12.3351 90.00 90.00 90.00
With the nearest neighbours (Å) after each atom.
Space group Ia-3d (No. 230)
One atom of each set of equivalent atoms:
Ca 0.0000 0.2500 0.1250 x24  8 H 2.31-2.42
Ag 0.0000 0.0000 0.0000 x16  6 H 2.03
Ag 0.0000 0.2500 0.3750 x24  4 H 1.87
H 0.0242 0.0569 0.6526 x96  2 Ag 1.87-2.03

Values from the calculation:
DOS at the Fermi energy (states/eV/f.u.): 4.593
Electronic total energy (eV/atom): -3.11

=====

No. 5
The following is a DFT calculation (GGA-PBE) of CeDyHg6 after structural relaxation.

Lattice parameters (Å, degrees): 5.0368 6.7639 11.6921 90.00 90.00 90.00
With the nearest neighbours (Å) after each atom.
Space group Amm2 (No. 38)
One atom of each set of equivalent atoms:
Ce 0.0000 0.0000 0.0000 x2  12 Hg 3.21-3.38
Dy 0.5000 0.0000 0.6697 x2  12 Hg 3.18-3.39
Hg 0.0000 0.0000 0.5030 x2  8 Hg 3.17-3.40, 2 Dy 3.18, 2 Ce 3.38
Hg 0.0000 0.2491 0.2508 x4  8 Hg 3.17-3.40, 2 Dy 3.18, 2 Ce 3.37-3.38
Hg 0.5000 0.0000 0.1703 x2  8 Hg 3.17-3.44, 2 Ce 3.21, 2 Dy 3.38
Hg 0.5000 0.2435 0.4166 x4  8 Hg 3.17-3.47, 2 Ce 3.21, 2 Dy 3.37-3.39

Values from the calculation:
E_form (eV per atom): -0.319
DOS at the Fermi energy (states/eV/f.u.): 12.408
E above lowest polymorph (meV per atom): 0
Electronic total energy (eV/atom): -1.86

=====

No. 6
The following is a DFT calculation (GGA-PBE) of Tm2ScGa3 after structural relaxation.

Lattice parameters (Å, degrees): 4.9038 4.9038 12.0529 90.00 90.00 120.00
With the nearest neighbours (Å) after each atom.
Space group P-3m1 (No. 164)
One atom of each set of equivalent atoms:
Tm 0.0000 0.0000 0.0000 x1  8 Ga 3.01-3.06
Tm 0.0000 0.0000 0.5000 x1  8 Ga 2.97-3.00
Tm 0.3333 0.6667 0.1707 x2  8 Ga 2.98-3.09
Sc 0.3333 0.6667 0.6659 x2  8 Ga 2.99-3.01
Ga 0.0000 0.0000 0.2536 x2  5 Tm 2.97-3.06, 3 Sc 2.99
Ga 0.3333 0.6667 0.4183 x2  4 Tm 2.98-3.00, 4 Sc 2.99-3.01
Ga 0.3333 0.6667 0.9143 x2  1 Sc 2.99, 7 Tm 3.01-3.09

Values from the calculation:
E_form (eV per atom): -0.566
DOS at the Fermi energy (states/eV/f.u.): 2.848
E above lowest polymorph (meV per atom): 0
Electronic total energy (eV/atom): -4.63

=====

No. 7
The following is a DFT calculation (GGA-PBE) of Pm2InCuTe5 after structural relaxation.

Lattice parameters (Å, degrees): 4.2719 18.8781 13.0189 90.00 90.00 90.00
With the nearest neighbours (Å) after each atom.
Space group Cmc2_1 (No. 36)
One atom of each set of equivalent atoms:
Pm 0.0000 0.1116 0.0000 x4  8 Te 3.24-3.34
Pm 0.0000 0.1221 0.6190 x4  8 Te 3.23-3.41
In 0.0000 0.1959 0.3202 x4  6 Te 3.00-3.06, 2 Cu 3.22
Cu 0.0000 0.4291 0.7815 x4  3 Te 2.58-2.60
Te 0.0000 0.0439 0.3888 x4  2 Cu 2.60
Te 0.0000 0.2849 0.9852 x4  2 In 3.05, 3 Pm 3.27-3.28
Te 0.0000 0.3015 0.6520 x4  1 Cu 2.94, 2 In 3.06
Te 0.0000 0.3556 0.3130 x4  1 In 3.02, 4 Pm 3.30-3.33
Te 0.0000 0.4940 0.6070 x4  1 Cu 2.58

Values from the calculation:
Uncorrected formation energy (eV/atom): -0.833
DOS at the Fermi energy (states/eV/f.u.): 2.191
Electronic total energy (eV/atom): -4.39

=====

No. 8
The following is a DFT calculation (GGA-PBE) of Cs2RbSmBr6 after structural relaxation.

Lattice parameters (Å, degrees): 8.3916 8.8255 14.6186 90.00 124.58 90.00
With the nearest neighbours (Å) after each atom.
Space group P2_1/c (No. 14)
One atom of each set of equivalent atoms:
Cs 0.2245 0.0675 0.2479 x4  6 Br 3.67-3.94
Rb 0.0000 0.0000 0.5000 x2  6 Br 3.40-3.46
Sm 0.5000 0.0000 0.0000 x2  6 Br 2.87-2.89
Br 0.1772 0.1806 0.9541 x4  1 Sm 2.87
Br 0.2700 0.7290 0.9443 x4  1 Sm 2.89
Br 0.3721 0.0329 0.7725 x4  1 Sm 2.87

Values from the calculation:
Uncorrected formation energy (eV/atom): -1.868
DOS at the Fermi energy (states/eV/f.u.): 0.000
Electronic total energy (eV/atom): -3.61

=====

No. 9
The following is a DFT calculation (GGA-PBE) of Ba8AgRhAu2 after structural relaxation.

Lattice parameters (Å, degrees): 7.6334 9.6493 7.8585 90.00 90.09 90.00
With the nearest neighbours (Å) after each atom.
Space group P2/m (No. 10)
One atom of each set of equivalent atoms:
Ba 0.2245 0.2315 0.1698 x4  1 Rh 3.11, 1 Au 3.34, 1 Ag 3.38
Ba 0.2549 0.0000 0.6868 x2  1 Rh 3.14, 2 Au 3.35
Ba 0.2736 0.5000 0.6663 x2  2 Au 3.28, 1 Ag 3.35
Ag 0.0000 0.5000 0.0000 x1  6 Ba 3.35-3.38
Rh 0.0000 0.0000 0.0000 x1  6 Ba 3.11-3.14
Au 0.5000 0.2446 0.5000 x2  6 Ba 3.28-3.35

Values from the calculation:
E_form (eV per atom): -0.359
DOS at the Fermi energy (states/eV/f.u.): 7.150
Electronic total energy (eV/atom): -3.04

=====

No. 10
The following is a DFT calculation (GGA-PBE) of ZnOs3 after structural relaxation.

Lattice parameters (Å, degrees): 6.1280 6.1280 6.1280 90.00 90.00 90.00
With the nearest neighbours (Å) after each atom.
Space group Fm-3m (No. 225)
One atom of each set of equivalent atoms:
Zn 0.0000 0.0000 0.0000 x4  8 Os 2.65
Os 0.0000 0.0000 0.5000 x4  8 Os 2.65
Os 0.2500 0.2500 0.2500 x8  4 Os 2.65, 4 Zn 2.65

Values from the calculation:
E_form (eV per atom): 0.519
DOS at the Fermi energy (states/eV/f.u.): 4.520
Electronic total energy (eV/atom): -8.22

=====

No. 11
The following is a DFT calculation (GGA-PBE) of Al2Ag2Au after structural relaxation.

Lattice parameters (Å, degrees): 3.7548 3.7548 13.3163 90.00 90.00 90.00
With the nearest neighbours (Å) after each atom.
Space group I4/mmm (No. 139)
One atom of each set of equivalent atoms:
Al 0.0000 0.0000 0.0961 x4  1 Al 2.56, 4 Ag 2.78
Ag 0.0000 0.5000 0.2500 x4  4 Ag 2.66, 4 Al 2.78
Au 0.0000 0.0000 0.5000 x2  8 Al 2.95

Values from the calculation:
E_form (eV per atom): 0.081
DOS at the Fermi energy (states/eV/f.u.): 2.052
E above lowest polymorph (meV per atom): 152
Electronic total energy (eV/atom): -3.21

=====

No. 12
The following is a DFT calculation (GGA-PBE) of Mg2AlW after structural relaxation.

Lattice parameters (Å, degrees): 2.7990 4.4995 5.7627 90.00 103.52 90.00
With the nearest neighbours (Å) after each atom.
Space group Pm (No. 6)
One atom of each set of equivalent atoms:
Mg 0.0000 0.0000 0.0000 x1  1 Al 2.61, 2 Mg 2.80
Mg 0.3725 0.5000 0.7627 x1  6 Mg 2.80-2.98, 2 Al 2.80, 3 W 2.96-3.02
Al 0.2696 0.0000 0.4657 x1  3 Mg 2.61-2.80, 2 Al 2.80, 4 W 2.80-2.85
W 0.6680 0.5000 0.2911 x1  2 W 2.80, 4 Al 2.80-2.85, 5 Mg 2.96-3.08

Values from the calculation:
E_form (eV per atom): 0.239
DOS at the Fermi energy (states/eV/f.u.): 3.167
Electronic total energy (eV/atom): -4.73

=====

What did the seventh record say?
The following is a DFT calculation (GGA-PBE) of Pm2InCuTe5 after structural relaxation.

Lattice parameters (Å, degrees): 4.2719 18.8781 13.0189 90.00 90.00 90.00
With the nearest neighbours (Å) after each atom.
Space group Cmc2_1 (No. 36)
One atom of each set of equivalent atoms:
Pm 0.0000 0.1116 0.0000 x4  8 Te 3.24-3.34
Pm 0.0000 0.1221 0.6190 x4  8 Te 3.23-3.41
In 0.0000 0.1959 0.3202 x4  6 Te 3.00-3.06, 2 Cu 3.22
Cu 0.0000 0.4291 0.7815 x4  3 Te 2.58-2.60
Te 0.0000 0.0439 0.3888 x4  2 Cu 2.60
Te 0.0000 0.2849 0.9852 x4  2 In 3.05, 3 Pm 3.27-3.28
Te 0.0000 0.3015 0.6520 x4  1 Cu 2.94, 2 In 3.06
Te 0.0000 0.3556 0.3130 x4  1 In 3.02, 4 Pm 3.30-3.33
Te 0.0000 0.4940 0.6070 x4  1 Cu 2.58

Values from the calculation:
Uncorrected formation energy (eV/atom): -0.833
DOS at the Fermi energy (states/eV/f.u.): 2.191
Electronic total energy (eV/atom): -4.39

=====

Look up the electronic total energy of the eleventh one. -3.21 eV/atom

=====

Number 2 is which compound? GeAs2W

=====

Which of these has the highest DOS at the Fermi energy? CeDyHg6